(1)
A plane-wave DFT calculation with PBE was carried out for an optimized crystal structure of Nd4SmDy2Er2.

Values from the calculation:
calculated volume = 298.0 Å³ per cell
SG = C2/m (12)
DOS(E_F) = 1.46 states/eV per atom
formation enthalpy at 0 K = 0.019 eV/atom

```
Nd4SmDy2Er2
1.0
-2.1895 4.5593 0.5715
-5.1498 -4.8235 -3.9148
-0.8909 -1.4155 7.8800
Nd Sm Dy Er
4 1 2 2
direct
0.2229 0.4458 0.3314
0.7771 0.5542 0.6686
0.4458 0.8917 0.6688
0.5542 0.1083 0.3312
0.0000 0.0000 0.0000
0.1115 0.2229 0.6686
0.8885 0.7771 0.3314
0.6680 0.3360 0.9993
0.3320 0.6640 0.0007
```

=====

(2)
A plane-wave DFT calculation with PBE was carried out for an optimized crystal structure of NdSm2Dy3Er6.

Values from the calculation:
calculated volume = 378.4 Å³ per cell
SG = C2/m (12)
DOS(E_F) = 1.28 states/eV per atom
formation enthalpy at 0 K = 0.019 eV/atom

```
NdSm2Dy3Er6
1.0
6.1519 0.0013 0.0092
-3.0733 5.3292 0.0092
-1.0395 -1.7998 11.5345
Nd Dy Sm Er
1 3 2 6
direct
0.0000 0.0000 0.0000
0.8333 0.1667 0.5000
0.5000 0.5000 0.5000
0.1667 0.8333 0.5000
0.3333 0.6667 0.0000
0.6667 0.3333 0.0000
0.5813 0.9148 0.7473
0.0852 0.4187 0.2527
0.2484 0.2484 0.7473
0.9148 0.5813 0.7473
0.4187 0.0852 0.2527
0.7516 0.7516 0.2527
```

=====

(3)
A plane-wave DFT calculation with PBE was carried out for an optimized crystal structure of Nd4Sm2DyEr2.

Values from the calculation:
calculated volume = 300.9 Å³ per cell
SG = C2/m (12)
DOS(E_F) = 1.56 states/eV per atom
formation enthalpy at 0 K = 0.021 eV/atom

```
Nd4Sm2DyEr2
1.0
5.1217 0.0000 0.0000
-2.5608 7.6872 0.0234
0.0000 -2.5868 7.6335
Sm Er Dy Nd
2 2 1 4
direct
0.8884 0.7769 0.3302
0.1116 0.2231 0.6698
0.6671 0.3342 0.9997
0.3329 0.6658 0.0003
0.0000 0.0000 0.0000
0.2221 0.4442 0.3303
0.7779 0.5558 0.6697
0.4454 0.8908 0.6697
0.5546 0.1092 0.3303
```

=====

(4)
A plane-wave DFT calculation with PBE was carried out for an optimized crystal structure of Nd2SmDyEr6.

Values from the calculation:
calculated volume = 644.3 Å³ per cell
SG = C2/c (15)
DOS(E_F) = 1.36 states/eV per atom
formation enthalpy at 0 K = 0.118 eV/atom

```
Nd2SmDyEr6
1.0
9.1777 -2.1180 -2.1980
0.7348 8.4769 -2.0034
0.7348 -2.3162 8.3968
Er Nd Sm Dy
12 4 2 2
direct
0.4425 0.2590 0.8764
0.0575 0.1236 0.7410
0.3139 0.9777 0.4260
0.9425 0.8764 0.2590
0.3811 0.5068 0.2942
0.1861 0.5740 0.0223
0.5575 0.7410 0.1236
0.1189 0.7058 0.4932
0.8811 0.2942 0.5068
0.6189 0.4932 0.7058
0.6861 0.0223 0.5740
0.8139 0.4260 0.9777
0.4573 0.8068 0.7041
0.9573 0.7041 0.8068
0.5427 0.1932 0.2959
0.0427 0.2959 0.1932
0.7500 0.0180 0.9820
0.2500 0.9820 0.0180
0.7500 0.5931 0.4069
0.2500 0.4069 0.5931
```

=====

(5)
A plane-wave DFT calculation with PBE was carried out for an optimized crystal structure of NdSmDy5Er2.

Values from the calculation:
calculated volume = 588.4 Å³ per cell
SG = Cmc2_1 (36)
DOS(E_F) = 1.57 states/eV per atom
formation enthalpy at 0 K = 0.160 eV/atom

```
NdSmDy5Er2
1.0
5.6086 0.0000 0.0000
-2.8043 9.9226 0.0000
0.0000 0.0000 10.5737
Dy Er Sm Nd
10 4 2 2
direct
0.2814 0.5628 0.3106
0.4778 0.9555 0.7366
0.7015 0.4029 0.2086
0.7186 0.4372 0.8106
0.6096 0.2192 0.5241
0.3904 0.7808 0.0241
0.0173 0.0346 0.0260
0.2985 0.5971 0.7086
0.5222 0.0445 0.2366
0.9827 0.9654 0.5260
0.1104 0.2209 0.7353
0.1140 0.2280 0.3204
0.8896 0.7791 0.2353
0.8860 0.7720 0.8204
0.7993 0.5986 0.5121
0.2007 0.4014 0.0121
0.4166 0.8331 0.4502
0.5834 0.1669 0.9502
```

=====

(6)
A plane-wave DFT calculation with PBE was carried out for an optimized crystal structure of Nd5SmDyEr2.

Values from the calculation:
calculated volume = 620.6 Å³ per cell
SG = Cmc2_1 (36)
DOS(E_F) = 1.59 states/eV per atom
formation enthalpy at 0 K = 0.146 eV/atom

```
Nd5SmDyEr2
1.0
-3.9481 2.2242 -3.3931
-5.3410 -4.8208 7.7771
0.1748 9.0703 5.7424
Er Nd Sm Dy
4 10 2 2
direct
0.8841 0.7681 0.8146
0.8892 0.7783 0.2389
0.1108 0.2217 0.7389
0.1159 0.2319 0.3146
0.7190 0.4380 0.8099
0.7035 0.4069 0.2043
0.3893 0.7786 0.0242
0.9838 0.9676 0.5208
0.0162 0.0324 0.0208
0.5195 0.0391 0.2429
0.6107 0.2214 0.5242
0.2965 0.5931 0.7043
0.2810 0.5620 0.3099
0.4805 0.9609 0.7429
0.7998 0.5995 0.5097
0.2002 0.4005 0.0097
0.5900 0.1800 0.9586
0.4100 0.8200 0.4586
```

=====

(7)
A plane-wave DFT calculation with PBE was carried out for an optimized crystal structure of NdSm2Dy4Er2.

Values from the calculation:
calculated volume = 289.9 Å³ per cell
SG = C2/m (12)
DOS(E_F) = 1.31 states/eV per atom
formation enthalpy at 0 K = 0.006 eV/atom

```
NdSm2Dy4Er2
1.0
3.6031 0.0000 0.0000
-1.8016 9.3168 -0.5023
0.0000 -3.6720 8.8336
Sm Dy Nd Er
2 4 1 2
direct
0.8522 0.7044 0.3331
0.1478 0.2956 0.6669
0.1854 0.3708 0.3342
0.4809 0.9619 0.6666
0.8146 0.6292 0.6658
0.5191 0.0381 0.3334
0.0000 0.0000 0.0000
0.6679 0.3359 0.0025
0.3321 0.6641 0.9975
```

=====

(8)
A plane-wave DFT calculation with PBE was carried out for an optimized crystal structure of Nd2Sm3DyEr6.

Values from the calculation:
calculated volume = 383.8 Å³ per cell
SG = C2/m (12)
DOS(E_F) = 1.16 states/eV per atom
formation enthalpy at 0 K = 0.016 eV/atom

```
Nd2Sm3DyEr6
1.0
6.1891 0.0002 0.0076
-3.0929 5.3609 0.0076
-1.0424 -1.8048 11.5626
Er Sm Dy Nd
6 3 1 2
direct
0.9163 0.5835 0.7498
0.5835 0.9163 0.7498
0.7510 0.7510 0.2504
0.4165 0.0837 0.2502
0.0837 0.4165 0.2502
0.2490 0.2490 0.7496
0.1667 0.8333 0.5000
0.5000 0.5000 0.5000
0.8333 0.1667 0.5000
0.0000 0.0000 0.0000
0.6665 0.3335 0.0000
0.3335 0.6665 0.0000
```

=====

(9)
A plane-wave DFT calculation with PBE was carried out for an optimized crystal structure of Nd2SmDy6Er.

Values from the calculation:
calculated volume = 654.0 Å³ per cell
SG = C2/c (15)
DOS(E_F) = 1.38 states/eV per atom
formation enthalpy at 0 K = 0.116 eV/atom

```
Nd2SmDy6Er
1.0
-3.3737 -9.1086 -0.0869
6.7413 -1.7067 -5.3670
1.5333 0.0885 8.6490
Er Nd Sm Dy
2 4 2 12
direct
0.7500 0.5928 0.4072
0.2500 0.4072 0.5928
0.5428 0.1951 0.2972
0.0428 0.2972 0.1951
0.4572 0.8049 0.7028
0.9572 0.7028 0.8049
0.2500 0.9818 0.0182
0.7500 0.0182 0.9818
0.3806 0.5062 0.2942
0.6194 0.4938 0.7058
0.4429 0.2574 0.8765
0.1194 0.7058 0.4938
0.8806 0.2942 0.5062
0.3133 0.9801 0.4269
0.8133 0.4269 0.9801
0.5571 0.7426 0.1235
0.1867 0.5731 0.0199
0.0571 0.1235 0.7426
0.6867 0.0199 0.5731
0.9429 0.8765 0.2574
```

=====

(10)
A plane-wave DFT calculation with PBE was carried out for an optimized crystal structure of NdSmDy2Er4.

Values from the calculation:
calculated volume = 527.9 Å³ per cell
SG = C2/c (15)
DOS(E_F) = 2.16 states/eV per atom
formation enthalpy at 0 K = 0.435 eV/atom

```
NdSmDy2Er4
1.0
9.3216 -0.0383 -1.7227
-0.0448 9.3216 -1.7227
-5.9018 -5.9060 8.2668
Er Dy Sm Nd
8 4 2 2
direct
0.7473 0.7502 0.0008
0.7498 0.7527 0.4992
0.7505 0.2466 0.4987
0.2527 0.2498 0.9992
0.2502 0.2473 0.5008
0.7466 0.2505 0.9987
0.2495 0.7534 0.5013
0.2534 0.7495 0.0013
0.5000 0.0000 0.0000
0.0000 0.0000 0.5000
0.5000 0.5000 0.0000
0.5000 0.0000 0.5000
0.0000 0.0000 0.0000
0.5000 0.5000 0.5000
0.0000 0.5000 0.5000
0.0000 0.5000 0.0000
```

=====

(11)
A plane-wave DFT calculation with PBE was carried out for an optimized crystal structure of Nd2SmDy5Er.

Values from the calculation:
calculated volume = 589.4 Å³ per cell
SG = I4/mcm (140)
DOS(E_F) = 1.25 states/eV per atom
formation enthalpy at 0 K = 0.271 eV/atom

```
Nd2SmDy5Er
1.0
-8.2209 2.6891 -0.7297
-2.7840 -8.0213 1.8044
5.3985 4.4171 7.0860
Er Dy Sm Nd
2 10 2 4
direct
0.7500 0.2500 0.5000
0.2500 0.7500 0.5000
0.3507 0.8507 0.2786
0.6493 0.1493 0.7214
0.8507 0.9279 0.2786
0.0000 0.0000 0.0000
0.4279 0.3507 0.2786
0.5721 0.6493 0.7214
0.9279 0.4279 0.2786
0.0721 0.5721 0.7214
0.1493 0.0721 0.7214
0.5000 0.5000 0.0000
0.2500 0.2500 0.5000
0.7500 0.7500 0.5000
0.1176 0.3824 0.0000
0.8824 0.6176 0.0000
0.3824 0.8824 0.0000
0.6176 0.1176 0.0000
```

=====

(12)
A plane-wave DFT calculation with PBE was carried out for an optimized crystal structure of Nd2SmDyEr5.

Values from the calculation:
calculated volume = 577.6 Å³ per cell
SG = I4/mcm (140)
DOS(E_F) = 1.13 states/eV per atom
formation enthalpy at 0 K = 0.264 eV/atom

```
Nd2SmDyEr5
1.0
-1.7250 -1.5753 8.2707
0.7070 -8.4398 -1.4600
8.1433 5.3600 -1.7459
Dy Er Sm Nd
2 10 2 4
direct
0.2500 0.2500 0.5000
0.7500 0.7500 0.5000
0.1496 0.0712 0.7208
0.4288 0.3504 0.2792
0.5000 0.5000 0.0000
0.9288 0.4288 0.2792
0.8504 0.9288 0.2792
0.3504 0.8504 0.2792
0.6496 0.1496 0.7208
0.0712 0.5712 0.7208
0.5712 0.6496 0.7208
0.0000 0.0000 0.0000
0.2500 0.7500 0.5000
0.7500 0.2500 0.5000
0.3819 0.8819 0.0000
0.6181 0.1181 0.0000
0.1181 0.3819 0.0000
0.8819 0.6181 0.0000
```

=====

(13)
A plane-wave DFT calculation with PBE was carried out for an optimized crystal structure of Nd4Sm2DyEr.

Values from the calculation:
calculated volume = 269.9 Å³ per cell
SG = P2/m (10)
DOS(E_F) = 1.36 states/eV per atom
formation enthalpy at 0 K = 0.014 eV/atom

```
Nd4Sm2DyEr
1.0
5.1582 0.0000 0.0000
0.0000 5.0357 1.0031
0.0001 3.0600 11.0004
Sm Nd Dy Er
2 4 1 1
direct
0.5000 0.0000 0.5000
0.0000 0.0000 0.0000
0.5000 0.2488 0.7510
0.5000 0.7512 0.2490
0.0000 0.7499 0.7501
0.0000 0.2501 0.2499
0.0000 0.5000 0.5000
0.5000 0.5000 0.0000
```

=====

(14)
A plane-wave DFT calculation with PBE was carried out for an optimized crystal structure of NdSm3DyEr.

Values from the calculation:
calculated volume = 398.0 Å³ per cell
SG = Cmcm (63)
DOS(E_F) = 1.75 states/eV per atom
formation enthalpy at 0 K = 0.119 eV/atom

```
NdSm3DyEr
1.0
-1.4947 3.8270 4.1224
3.0623 -5.3800 1.9962
10.3539 5.4197 -1.2771
Sm Er Nd Dy
6 2 2 2
direct
0.6735 0.3470 0.0336
0.8682 0.7364 0.2500
0.3265 0.6530 0.9664
0.6735 0.3470 0.4664
0.3265 0.6530 0.5336
0.1318 0.2636 0.7500
0.8285 0.6569 0.7500
0.1715 0.3431 0.2500
0.4722 0.9444 0.2500
0.5278 0.0556 0.7500
0.0000 0.0000 0.0000
0.0000 0.0000 0.5000
```

=====

(15)
A plane-wave DFT calculation with PBE was carried out for an optimized crystal structure of NdSm4Dy2Er.

Values from the calculation:
calculated volume = 263.2 Å³ per cell
SG = P2/m (10)
DOS(E_F) = 1.40 states/eV per atom
formation enthalpy at 0 K = 0.018 eV/atom

```
NdSm4Dy2Er
1.0
3.6046 0.0000 0.0000
0.0000 6.2222 -0.0780
0.0000 2.2473 11.7061
Dy Sm Nd Er
2 4 1 1
direct
0.0000 0.0000 0.0000
0.5000 0.0000 0.5000
0.0000 0.2495 0.2480
0.5000 0.7503 0.2472
0.5000 0.2497 0.7528
0.0000 0.7505 0.7520
0.0000 0.5000 0.5000
0.5000 0.5000 0.0000
```

=====

(16)
A plane-wave DFT calculation with PBE was carried out for an optimized crystal structure of Nd2Sm2DyEr.

Values from the calculation:
calculated volume = 397.2 Å³ per cell
SG = Pmma (51)
DOS(E_F) = 1.50 states/eV per atom
formation enthalpy at 0 K = 0.060 eV/atom

```
Nd2Sm2DyEr
1.0
5.6943 0.0000 0.0000
0.0000 7.0667 0.0000
0.0000 0.0000 9.8698
Sm Nd Er Dy
4 4 2 2
direct
0.5000 0.2576 0.3314
0.0000 0.7576 0.1628
0.5000 0.7576 0.6686
0.0000 0.2576 0.8372
0.0000 0.7577 0.8226
0.5000 0.0076 0.0001
0.0000 0.2577 0.1774
0.5000 0.5076 0.9999
0.0000 0.0076 0.4999
0.0000 0.5076 0.5001
0.5000 0.7576 0.3413
0.5000 0.2576 0.6587
```

=====

(17)
A plane-wave DFT calculation with PBE was carried out for an optimized crystal structure of NdSm5Dy2Er.

Values from the calculation:
calculated volume = 611.5 Å³ per cell
SG = Cmc2_1 (36)
DOS(E_F) = 1.58 states/eV per atom
formation enthalpy at 0 K = 0.147 eV/atom

```
NdSm5Dy2Er
1.0
5.6408 0.0000 0.0000
-2.8204 10.1242 0.0000
0.0000 0.0000 10.7072
Sm Dy Nd Er
10 4 2 2
direct
0.3926 0.7852 0.0247
0.7185 0.4370 0.8073
0.6074 0.2148 0.5247
0.2815 0.5630 0.3073
0.7016 0.4032 0.2049
0.2984 0.5968 0.7049
0.5205 0.0410 0.2413
0.0168 0.0336 0.0232
0.4795 0.9590 0.7413
0.9832 0.9664 0.5232
0.8901 0.7802 0.2372
0.8843 0.7686 0.8181
0.1099 0.2198 0.7372
0.1157 0.2314 0.3181
0.2017 0.4035 0.0095
0.7983 0.5965 0.5095
0.4111 0.8222 0.4578
0.5889 0.1778 0.9578
```

=====

(18)
A plane-wave DFT calculation with PBE was carried out for an optimized crystal structure of Nd2Sm6DyEr.

Values from the calculation:
calculated volume = 677.1 Å³ per cell
SG = C2/c (15)
DOS(E_F) = 1.41 states/eV per atom
formation enthalpy at 0 K = 0.116 eV/atom

```
Nd2Sm6DyEr
1.0
-9.5159 -2.2130 0.5174
1.9654 -3.6096 7.9065
-1.3708 8.7963 -0.3889
Er Sm Dy Nd
2 12 2 4
direct
0.7500 0.5919 0.4081
0.2500 0.4081 0.5919
0.8804 0.2912 0.5015
0.8111 0.4256 0.9825
0.3804 0.5015 0.2912
0.0558 0.1244 0.7513
0.1196 0.7088 0.4985
0.3111 0.9825 0.4256
0.9442 0.8756 0.2487
0.5558 0.7513 0.1244
0.6889 0.0175 0.5744
0.6196 0.4985 0.7088
0.1889 0.5744 0.0175
0.4442 0.2487 0.8756
0.7500 0.0196 0.9804
0.2500 0.9804 0.0196
0.9578 0.7016 0.8043
0.0422 0.2984 0.1957
0.4578 0.8043 0.7016
0.5422 0.1957 0.2984
```

=====

(19)
A plane-wave DFT calculation with PBE was carried out for an optimized crystal structure of Tb2Nd4DyEr2.

Values from the calculation:
calculated volume = 296.9 Å³ per cell
SG = C2/m (12)
DOS(E_F) = 1.52 states/eV per atom
formation enthalpy at 0 K = 0.021 eV/atom

```
Tb2Nd4DyEr2
1.0
-3.5825 1.5050 -3.2907
2.3919 -7.4183 -2.0572
-5.5835 -0.7624 5.7300
Dy Nd Er Tb
1 4 2 2
direct
0.0000 0.0000 0.0000
0.2226 0.4452 0.3312
0.7774 0.5548 0.6688
0.5542 0.1084 0.3306
0.4458 0.8916 0.6694
0.3327 0.6653 0.0004
0.6673 0.3347 0.9996
0.8885 0.7770 0.3303
0.1115 0.2230 0.6697
```